DFT (PBE) results for a relaxed structure of HfSe2Br2.

```
data_HfSe2Br2
_chemical_formula_sum 'Hf2 Se4 Br4'
_space_group_name_H-M_alt 'P 4/m b m'
_space_group_IT_number 127
_space_group_name_Hall '-P 4 2ab'
_cell_length_a 6.841
_cell_length_b 6.841
_cell_length_c 5.330
_cell_angle_alpha 90.00
_cell_angle_beta 90.00
_cell_angle_gamma 90.00
loop_
_atom_site_label
_atom_site_fract_x
_atom_site_fract_y
_atom_site_fract_z
Hf1 0.000 0.000 0.000
Se1 0.139 0.361 0.000
Br1 0.197 0.697 0.500
```

* E: -4.228 eV per atom
* energy relative to the elements, uncorrected: -174 meV per atom
* size of the total moment: 0.0 μB per formula unit